## Sm2Tl5Br12 (PBE)

Data for crystalline Sm2Tl5Br12 at its relaxed geometry.

abc: 8.570 9.940 10.419
angles: 107.66 90.00 115.54
Fractional coordinates of all 19 atoms:
Br  0.494  0.988  0.805
Br  0.890  0.260  0.557
Br  0.101  0.668  0.912
Br  0.506  0.012  0.195
Br  0.002  0.004  0.186
Br  0.433  0.332  0.088
Br  0.630  0.740  0.443
Br  0.567  0.668  0.912
Br  0.110  0.740  0.443
Br  0.899  0.332  0.088
Br  0.370  0.260  0.557
Br  0.998  0.996  0.814
Tl  0.719  0.439  0.377
Tl  0.314  0.627  0.188
Tl  0.281  0.561  0.623
Tl  0.686  0.373  0.812
Tl  0.000  0.000  0.500
Sm  0.253  0.000  0.000
Sm  0.747  0.000  0.000

SG   C2/m (12)
Final energy   -3.3897 eV/atom



## SmTl2Br5 (PBE)

Data for crystalline SmTl2Br5 at its relaxed geometry.

abc: 8.686 9.165 13.580
angles: 90.00 90.00 90.00
Fractional coordinates of all 32 atoms:
Tl  0.937  0.004  0.673
Tl  0.437  0.504  0.827
Tl  0.563  0.496  0.173
Tl  0.063  0.996  0.327
Tl  0.937  0.496  0.673
Tl  0.063  0.504  0.327
Tl  0.563  0.004  0.173
Tl  0.437  0.996  0.827
Br  0.833  0.454  0.929
Br  0.611  0.250  0.683
Br  0.655  0.750  0.703
Br  0.418  0.250  0.008
Br  0.833  0.046  0.929
Br  0.889  0.250  0.183
Br  0.667  0.454  0.429
Br  0.389  0.750  0.317
Br  0.155  0.250  0.797
Br  0.111  0.750  0.817
Br  0.582  0.750  0.992
Br  0.845  0.750  0.203
Br  0.918  0.750  0.492
Br  0.667  0.046  0.429
Br  0.345  0.250  0.297
Br  0.333  0.954  0.571
Br  0.167  0.546  0.071
Br  0.333  0.546  0.571
Br  0.082  0.250  0.508
Br  0.167  0.954  0.071
Sm  0.576  0.750  0.495
Sm  0.076  0.250  0.005
Sm  0.924  0.750  0.995
Sm  0.424  0.250  0.505

SG   Pnma (62)
Final energy   -3.6201 eV/atom



## Sm3Tl6Br14 (PBE)

Data for crystalline Sm3Tl6Br14 at its relaxed geometry.

abc: 8.114 11.232 11.232
angles: 120.00 90.00 90.00
Each line ends with the local moment (μB).
Fractional coordinates of all 23 atoms:
Sm  0.408  0.667  0.333  0.00
Sm  0.897  0.000  0.000  0.10
Sm  0.343  0.333  0.667  0.00
Br  0.211  0.912  0.454  0.01
Br  0.966  0.140  0.863  0.01
Br  0.966  0.137  0.277  0.01
Br  0.631  0.783  0.216  0.01
Br  0.631  0.784  0.567  0.01
Br  0.631  0.433  0.217  0.01
Br  0.496  0.583  0.793  0.00
Br  0.002  0.333  0.667  0.00
Br  0.211  0.541  0.088  0.01
Br  0.496  0.210  0.417  0.00
Br  0.496  0.207  0.790  0.00
Br  0.966  0.723  0.860  0.01
Br  0.211  0.546  0.459  0.01
Br  0.555  0.000  0.000  0.01
Tl  0.276  0.879  0.750  0.04
Tl  0.276  0.250  0.130  0.04
Tl  0.276  0.870  0.121  0.04
Tl  0.800  0.493  0.511  0.00
Tl  0.800  0.489  0.981  0.00
Tl  0.800  0.019  0.507  0.00

SG   P3 (143)
Final energy   -3.5189 eV/atom



## Sm6TlBr8 (PBE)

Data for crystalline Sm6TlBr8 at its relaxed geometry.

abc: 7.084 7.084 11.999
angles: 72.83 72.83 60.00
Fractional coordinates of all 15 atoms:
Br  0.333  0.333  0.000
Br  0.890  0.213  0.328
Br  0.110  0.787  0.672
Br  0.667  0.667  0.000
Br  0.213  0.568  0.328
Br  0.568  0.890  0.328
Br  0.432  0.110  0.672
Br  0.787  0.432  0.672
Sm  0.946  0.603  0.163
Sm  0.054  0.397  0.837
Sm  0.288  0.946  0.163
Sm  0.603  0.288  0.163
Sm  0.712  0.054  0.837
Sm  0.397  0.712  0.837
Tl  0.000  0.000  0.000

SG   R-3 (148)
Final energy   -4.2570 eV/atom



## Sm2TlBr2 (PBE)

Data for crystalline Sm2TlBr2 at its relaxed geometry.

abc: 4.121 4.121 11.777
angles: 79.92 79.92 60.00
Fractional coordinates of all 5 atoms:
Sm  0.394  0.394  0.819
Sm  0.606  0.606  0.181
Br  0.779  0.779  0.662
Br  0.221  0.221  0.338
Tl  0.000  0.000  0.000

SG   R-3m (166)
Final energy   -4.1868 eV/atom



## Sm3Tl2Br2 (PBE)

Data for crystalline Sm3Tl2Br2 at its relaxed geometry.

abc: 4.460 6.135 9.072
angles: 107.51 90.00 111.31
Fractional coordinates of all 7 atoms:
Tl  0.335  0.671  0.098
Tl  0.665  0.329  0.902
Br  0.899  0.799  0.634
Br  0.101  0.201  0.366
Sm  0.245  0.489  0.708
Sm  0.755  0.511  0.292
Sm  0.000  0.000  0.000

SG   C2/m (12)
Final energy   -3.9206 eV/atom



## Sm2TlBr8 (PBE)

Data for crystalline Sm2TlBr8 at its relaxed geometry.

abc: 7.542 7.483 7.483
angles: 76.40 81.59 81.59
Fractional coordinates of all 11 atoms:
Tl  0.000  0.000  0.000
Br  0.862  0.786  0.786
Br  0.337  0.672  0.052
Br  0.663  0.948  0.328
Br  0.138  0.214  0.214
Br  0.255  0.555  0.555
Br  0.745  0.445  0.445
Br  0.337  0.052  0.672
Br  0.663  0.328  0.948
Sm  0.546  0.683  0.683
Sm  0.454  0.317  0.317

SG   C2/m (12)
Final energy   -3.7411 eV/atom



## SmTlBr2 (PBE)

Data for crystalline SmTlBr2 at its relaxed geometry.

abc: 3.774 3.774 11.114
angles: 80.23 80.23 60.00
Fractional coordinates of all 4 atoms:
Sm  0.500  0.500  0.500
Tl  0.000  0.000  0.000
Br  0.895  0.895  0.315
Br  0.105  0.105  0.685

SG   R-3m (166)
Final energy   -3.7304 eV/atom



## SmTmBr (PBE)

Data for crystalline SmTmBr at its relaxed geometry.

abc: 3.723 3.723 7.343
angles: 90.00 90.00 120.00
Each line ends with the local moment (μB).
Fractional coordinates of all 3 atoms:
Tm  0.000  0.000  0.019  0.15
Sm  0.333  0.667  0.655  0.07
Br  0.667  0.333  0.326  0.00

SG   P3m1 (156)
Final energy   -4.3536 eV/atom
Excess energy over the best structure of this formula in the dataset   16 meV/atom



## SmTmBr (PBE)

Data for crystalline SmTmBr at its relaxed geometry.

abc: 5.768 5.985 10.201
angles: 90.00 90.00 90.00
Fractional coordinates of all 12 atoms:
Tm  0.410  0.575  0.932
Tm  0.910  0.425  0.068
Tm  0.910  0.925  0.932
Tm  0.410  0.075  0.068
Sm  0.910  0.984  0.276
Sm  0.410  0.016  0.724
Sm  0.410  0.516  0.276
Sm  0.910  0.484  0.724
Br  0.410  0.508  0.619
Br  0.910  0.492  0.381
Br  0.410  0.008  0.381
Br  0.910  0.992  0.619

SG   Pbcm (57)
Final energy   -4.3694 eV/atom
Excess energy over the best structure of this formula in the dataset   0 meV/atom



## SmTmBr2 (PBE)

Data for crystalline SmTmBr2 at its relaxed geometry.

abc: 3.690 3.690 10.221
angles: 79.60 79.60 60.00
Fractional coordinates of all 4 atoms:
Br  0.095  0.095  0.716
Br  0.905  0.905  0.284
Sm  0.500  0.500  0.500
Tm  0.000  0.000  0.000

SG   R-3m (166)
Final energy   -4.1533 eV/atom



## SmUBr6 (PBE)

Data for crystalline SmUBr6 at its relaxed geometry.

abc: 7.480 7.480 7.181
angles: 97.95 97.95 122.64
Each line ends with the local moment (μB).
Fractional coordinates of all 8 atoms:
Br  0.397  0.099  0.247  -0.01
Br  0.753  0.753  0.250  -0.01
Br  0.901  0.603  0.753  -0.01
Br  0.603  0.901  0.753  -0.01
Br  0.247  0.247  0.750  -0.01
Br  0.099  0.397  0.247  -0.01
U  0.500  0.500  0.500  2.88
Sm  0.000  0.000  0.000  0.03

SG   C2/m (12)
Final energy   -4.7948 eV/atom



## Sm2VBr (PBE)

Data for crystalline Sm2VBr at its relaxed geometry.

abc: 3.422 3.422 10.764
angles: 80.85 80.85 60.00
Each line ends with the local moment (μB).
Fractional coordinates of all 4 atoms:
Sm  0.090  0.090  0.731  0.02
Sm  0.910  0.910  0.269  0.02
Br  0.500  0.500  0.500  0.00
V  0.000  0.000  0.000  2.59

SG   R-3m (166)
Final energy   -4.9207 eV/atom



## SmYBr6 (PBE)

Data for crystalline SmYBr6 at its relaxed geometry.

abc: 7.528 7.528 7.044
angles: 97.87 97.87 124.22
Fractional coordinates of all 8 atoms:
Sm  0.500  0.500  0.500
Br  0.391  0.100  0.245
Br  0.609  0.900  0.755
Br  0.900  0.609  0.755
Br  0.752  0.752  0.248
Br  0.100  0.391  0.245
Br  0.248  0.248  0.752
Y  0.000  0.000  0.000

SG   C2/m (12)
Final energy   -4.4939 eV/atom
Excess energy over the best structure of this formula in the dataset   0 meV/atom



## Sm2YBr (PBE)

Data for crystalline Sm2YBr at its relaxed geometry.

abc: 3.565 3.565 9.656
angles: 90.00 90.00 90.00
Fractional coordinates of all 4 atoms:
Sm  0.000  0.000  0.234
Sm  0.000  0.000  0.766
Br  0.500  0.500  0.000
Y  0.500  0.500  0.500

SG   P4/mmm (123)
Final energy   -4.8514 eV/atom
Excess energy over the best structure of this formula in the dataset   82 meV/atom



## Sm2YBr5 (PBE)

Data for crystalline Sm2YBr5 at its relaxed geometry.

abc: 7.019 11.416 15.686
angles: 90.00 90.00 90.00
Fractional coordinates of all 32 atoms:
Y  0.000  0.719  0.777
Y  0.500  0.781  0.277
Y  0.000  0.281  0.223
Y  0.500  0.219  0.723
Br  0.751  0.742  0.421
Br  0.749  0.242  0.079
Br  0.249  0.742  0.421
Br  0.000  0.897  0.655
Br  0.500  0.035  0.844
Br  0.251  0.242  0.079
Br  0.000  0.535  0.656
Br  0.500  0.603  0.155
Br  0.000  0.103  0.345
Br  0.751  0.258  0.579
Br  0.500  0.965  0.156
Br  0.249  0.258  0.579
Br  0.251  0.758  0.921
Br  0.749  0.758  0.921
Br  0.000  0.142  0.883
Br  0.500  0.642  0.617
Br  0.500  0.397  0.845
Br  0.000  0.858  0.117
Br  0.000  0.465  0.344
Br  0.500  0.358  0.383
Sm  0.500  0.638  0.799
Sm  0.500  0.362  0.201
Sm  0.000  0.862  0.299
Sm  0.750  0.500  0.500
Sm  0.250  0.500  0.500
Sm  0.750  0.000  0.000
Sm  0.000  0.138  0.701
Sm  0.250  0.000  0.000

SG   Pnnm (58)
Final energy   -4.2975 eV/atom



## SmYBr (PBE)

Data for crystalline SmYBr at its relaxed geometry.

abc: 3.765 3.765 7.372
angles: 90.00 90.00 120.00
Each line ends with the local moment (μB).
Fractional coordinates of all 3 atoms:
Sm  0.333  0.667  0.653  0.07
Br  0.667  0.333  0.327  0.00
Y  0.000  0.000  0.020  0.10

SG   P3m1 (156)
Final energy   -5.0389 eV/atom



## Sm2YBr (PBE)

Data for crystalline Sm2YBr at its relaxed geometry.

abc: 3.693 3.693 10.688
angles: 80.05 80.05 60.00
Fractional coordinates of all 4 atoms:
Sm  0.258  0.258  0.227
Sm  0.742  0.742  0.773
Y  0.500  0.500  0.500
Br  0.000  0.000  0.000

SG   R-3m (166)
Final energy   -4.9334 eV/atom
Excess energy over the best structure of this formula in the dataset   0 meV/atom



## SmYBr3 (PBE)

Data for crystalline SmYBr3 at its relaxed geometry.

abc: 3.952 9.229 11.432
angles: 122.42 90.00 102.36
Fractional coordinates of all 10 atoms:
Br  0.664  0.328  0.507
Br  0.037  0.074  0.745
Br  0.336  0.672  0.493
Br  0.963  0.926  0.255
Br  0.785  0.570  0.882
Br  0.215  0.430  0.118
Y  0.574  0.148  0.957
Y  0.426  0.852  0.043
Sm  0.863  0.726  0.714
Sm  0.137  0.274  0.286

SG   C2/m (12)
Final energy   -4.7619 eV/atom



## SmYBr6 (PBE)

Data for crystalline SmYBr6 at its relaxed geometry.

abc: 7.119 7.119 7.672
angles: 62.36 62.36 60.00
Fractional coordinates of all 8 atoms:
Y  0.500  0.500  0.500
Sm  0.000  0.000  0.000
Br  0.906  0.588  0.252
Br  0.254  0.906  0.252
Br  0.412  0.746  0.748
Br  0.746  0.094  0.748
Br  0.094  0.412  0.748
Br  0.588  0.254  0.252

SG   R-3 (148)
Final energy   -4.4780 eV/atom
Excess energy over the best structure of this formula in the dataset   16 meV/atom